A relaxed SrBe2VF8 crystal. Source: Alexandria via LeMat-Bulk, functional PBE+U.

POSCAR file:
```
SrBe2VF8
1.0
4.832 0.000 0.000
2.416 4.184 0.000
2.416 1.395 7.036
F Sr Be V
8 1 2 1
direct
0.040 0.422 0.815
0.960 0.578 0.185
0.278 0.960 0.185
0.823 0.823 0.531
0.422 0.722 0.815
0.578 0.278 0.185
0.177 0.177 0.469
0.722 0.040 0.815
0.500 0.500 0.500
0.749 0.749 0.753
0.251 0.251 0.247
0.000 0.000 0.000
```

Summary:
space-group type = R-3, No. 148
E = -70.8 eV per formula unit
DOS(E_F) = 0.00 states/eV per atom
calculated volume = 142.2 Å³/cell